A plane-wave DFT calculation with PBE-GGA was carried out for a relaxed AlCoP2S crystal.

- density of states at the Fermi level (states/eV/cell) = 5.05
- energy above the lowest structure with this stoichiometry (eV/atom) = 0.0000
- calculated total energy (eV for the cell shown) = -23.68
- total moment (Bohr magnetons per cell) = 0.00
- raw formation energy (eV per atom) = 0.423
- theoretical density (g/cm3) = 3.4

a = 4.1830 Å, b = 4.1830 Å, c = 5.0448 Å
α = 90.00°, β = 90.00°, γ = 90.00°
Fractional positions:
P 0.0000 0.5000 0.0000
P 0.5000 0.0000 0.0000
S 0.0000 0.0000 0.5000
Co 0.0000 0.0000 0.0000
Al 0.5000 0.5000 0.5000

---

A plane-wave DFT calculation with PBE-GGA was carried out for a relaxed TiMn2BeNi crystal.

- density of states at the Fermi level (states/eV/cell) = 6.16
- energy above the lowest structure with this stoichiometry (eV/atom) = 0.0000
- calculated total energy (eV for the cell shown) = -31.32
- total moment (Bohr magnetons per cell) = 6.53
- ΔH_f (0 K) (eV/atom) = 0.88
- theoretical density (g/cm3) = 4.3

a = 4.4819 Å, b = 4.3402 Å, c = 4.4819 Å
α = 90.00°, β = 90.00°, γ = 90.00°
Site moments in Bohr magnetons follow the coordinates.
Fractional positions:
Ni 0.0000 0.0000 0.0000  0.37
Mn 0.0000 0.0000 0.5000  3.73
Mn 0.5000 0.0000 0.0000  3.51
Be 0.5000 0.5000 0.5000  -0.10
Ti 0.0000 0.5000 0.0000  -0.91

---

A plane-wave DFT calculation with PBE-GGA was carried out for a relaxed SiP2Rh crystal.

- density of states at the Fermi level (states/eV/cell) = 2.77
- calculated total energy (eV for the cell shown) = -22.70
- total moment (Bohr magnetons per cell) = 0.00
- raw formation energy (eV per atom) = 0.223
- theoretical density (g/cm3) = 5.8

a = 2.7758 Å, b = 4.4722 Å, c = 4.4722 Å
α = 90.00°, β = 90.00°, γ = 90.00°
Fractional positions:
P 0.0000 0.0000 0.0000
P 0.0000 0.5000 0.5000
Rh 0.5000 0.5000 0.0000
Si 0.5000 0.0000 0.5000

---

A plane-wave DFT calculation with PBE-GGA was carried out for a relaxed Mo5OsRh6 crystal.

- density of states at the Fermi level (states/eV/cell) = 7.69
- calculated total energy (eV for the cell shown) = -111.29
- total moment (Bohr magnetons per cell) = 0.00
- ΔH_f (0 K) (eV/atom) = -0.15
- theoretical density (g/cm3) = 12.1

a = 3.8719 Å, b = 7.8635 Å, c = 7.2778 Å
α = 122.72°, β = 105.43°, γ = 90.04°
Fractional positions:
Rh 0.8339 0.5849 0.6679
Rh 0.8339 0.0829 0.6678
Rh 0.5001 0.7506 0.0001
Rh 0.4999 0.2494 0.9999
Rh 0.1661 0.9171 0.3322
Rh 0.1661 0.4151 0.3321
Mo 0.6640 0.1642 0.3285
Mo 0.3350 0.3348 0.6692
Mo 0.0000 0.5000 0.0000
Mo 0.6650 0.6652 0.3308
Mo 0.3360 0.8358 0.6715
Os 0.0000 0.0000 0.0000

---

A plane-wave DFT calculation with PBE-GGA was carried out for a relaxed Ba3ReI crystal.

- density of states at the Fermi level (states/eV/cell) = 3.95
- energy above the lowest structure with this stoichiometry (eV/atom) = 0.0000
- calculated total energy (eV for the cell shown) = -18.88
- total moment (Bohr magnetons per cell) = 0.00
- raw formation energy (eV per atom) = 0.177
- theoretical density (g/cm3) = 5.5

a = 6.0160 Å, b = 6.0160 Å, c = 6.0160 Å
α = 90.00°, β = 90.00°, γ = 90.00°
Fractional positions:
I 0.5000 0.5000 0.5000
Re 0.0000 0.0000 0.0000
Ba 0.0000 0.5000 0.0000
Ba 0.0000 0.0000 0.5000
Ba 0.5000 0.0000 0.0000

---

A plane-wave DFT calculation with PBE-GGA was carried out for a relaxed Pr3CuSn crystal.

- density of states at the Fermi level (states/eV/cell) = 23.68
- calculated total energy (eV for the cell shown) = -94.93
- total moment (Bohr magnetons per cell) = 0.00
- ΔH_f (0 K) (eV/atom) = -0.26
- theoretical density (g/cm3) = 6.5

a = 8.5639 Å, b = 8.5225 Å, c = 8.5225 Å
α = 83.12°, β = 90.00°, γ = 90.00°
Fractional positions:
Pr 0.5863 0.8041 0.9936
Pr 0.9137 0.0064 0.1959
Pr 0.4137 0.1959 0.0064
Pr 0.0863 0.9936 0.8041
Pr 0.8149 0.4294 0.0706
Pr 0.6851 0.9294 0.5706
Pr 0.1851 0.5706 0.9294
Pr 0.3149 0.0706 0.4294
Pr 0.5863 0.5065 0.6960
Pr 0.9137 0.3040 0.4935
Pr 0.4137 0.4935 0.3040
Pr 0.0863 0.6960 0.5065
Cu 0.8716 0.6970 0.8032
Cu 0.6284 0.1968 0.3030
Cu 0.1284 0.3030 0.1968
Cu 0.3716 0.8032 0.6970
Sn 0.2500 0.8435 0.1565
Sn 0.7500 0.1565 0.8435
Sn 0.2500 0.3435 0.6565
Sn 0.7500 0.6565 0.3435